A plane-wave DFT calculation with PBE was carried out for crystalline Dy10Sb3Pb3 at its relaxed geometry.

Geometry as extended XYZ:
```
16
Lattice="6.456 0.000 0.000 0.000 7.817 -4.513 0.000 0.000 9.026" Properties=species:S:1:pos:R:3 pbc="T T T"
Dy 1.593 5.211 0.000
Dy 1.593 2.606 4.513
Dy 4.863 2.606 4.513
Dy 4.863 5.211 0.000
Dy 3.228 0.000 6.857
Dy 3.228 5.938 -3.428
Dy 3.228 1.879 1.085
Dy 0.000 0.000 2.181
Dy 0.000 1.889 -1.091
Dy 0.000 5.928 3.422
Sb 0.000 0.000 5.504
Sb 0.000 4.767 -2.752
Sb 0.000 3.050 1.761
Pb 3.228 0.000 3.547
Pb 3.228 3.072 -1.773
Pb 3.228 4.745 2.740
```

A plane-wave DFT calculation with PBE was carried out for crystalline DySb2Pb at its relaxed geometry.

Geometry as extended XYZ:
```
4
Lattice="-0.116 -3.998 -1.020 3.041 -0.773 2.682 -4.497 -1.089 4.783" Properties=species:S:1:pos:R:3 pbc="T T T"
Pb -0.786 -2.930 3.223
Sb -3.470 -0.840 3.691
Sb -1.027 -0.249 1.092
Dy 1.462 -2.385 0.831
```

Calculated values
E above lowest polymorph, eV per formula unit: 0.00

A plane-wave DFT calculation with PBE was carried out for crystalline Dy2SbPb at its relaxed geometry.

Geometry as extended XYZ:
```
4
Lattice="4.014 0.000 0.000 0.000 4.014 0.000 0.000 0.000 6.871" Properties=species:S:1:pos:R:3 pbc="T T T"
Pb 2.007 2.007 3.436
Sb 2.007 2.007 0.000
Dy 0.000 0.000 5.213
Dy 0.000 0.000 1.659
```

Calculated values
E above lowest polymorph, eV per formula unit: 0.74

A plane-wave DFT calculation with PBE was carried out for crystalline Dy3Sb2Pb at its relaxed geometry.

Geometry as extended XYZ:
```
12
Lattice="7.453 0.183 0.315 -1.482 7.530 -0.213 -1.482 -3.918 6.434" Properties=species:S:1:pos:R:3 pbc="T T T"
Dy -0.710 -0.118 2.068
Dy 3.016 1.946 1.080
Dy -0.741 3.765 -0.106
Dy 5.199 3.913 4.468
Dy 2.986 -1.868 3.374
Dy 1.473 1.849 5.456
Sb 0.381 6.617 0.422
Sb 0.381 -0.988 4.838
Sb 4.108 -2.822 6.114
Sb 4.108 4.783 1.698
Pb 0.381 2.777 2.652
Pb 4.108 1.018 3.884
```

A plane-wave DFT calculation with PBE was carried out for crystalline Dy5Sb2Pb2 at its relaxed geometry.

Geometry as extended XYZ:
```
18
Lattice="8.235 0.000 0.000 0.000 7.290 -3.747 0.000 -0.108 8.755" Properties=species:S:1:pos:R:3 pbc="T T T"
Dy 0.000 0.000 0.000
Dy 4.118 3.645 -1.874
Dy 6.906 5.820 -0.600
Dy 1.330 3.415 0.636
Dy 2.788 7.060 -1.238
Dy 5.448 2.175 1.274
Dy 1.330 1.363 5.607
Dy 6.906 3.767 4.371
Dy 5.448 0.122 6.245
Dy 2.788 5.008 3.734
Sb 0.000 1.425 2.773
Sb 4.118 5.070 0.899
Sb 0.000 5.757 2.235
Sb 4.118 2.112 4.108
Pb 5.272 6.268 -3.222
Pb 2.964 1.022 -0.525
Pb 1.154 4.667 -2.399
Pb 7.082 2.623 -1.348
```

Calculated values
E above lowest polymorph, eV per formula unit: 0.00

A plane-wave DFT calculation with PBE was carried out for crystalline Dy4SbPb2Se at its relaxed geometry.

Geometry as extended XYZ:
```
8
Lattice="-0.877 2.747 3.066 2.231 -5.278 5.367 7.199 0.922 1.234" Properties=species:S:1:pos:R:3 pbc="T T T"
Dy 7.039 -3.203 4.884
Dy 1.513 1.594 4.783
Dy 3.076 -2.262 5.796
Dy 5.477 0.653 3.871
Sb 0.677 -1.266 4.217
Pb 7.199 0.922 1.234
Pb 3.161 1.834 2.150
Se 4.715 -2.178 3.301
```

Respective E_form (uncorrected) values: -0.73 -0.45 -0.62 -0.86 -0.79 -0.93 eV per atom.
Respective density of states at the Fermi level values: 0.664 0.743 0.812 0.439 0.832 0.376 states/eV/atom.